A geometry-optimized Ti8Sn2Rh structure. Source: Alexandria, functional PBE.

Summary:
DFT formation energy   -299.1 kJ/mol of formula units
Calculated volume   196 Å³/cell
Space-group type   Immm
Electronic total energy   -81.6 eV for the cell shown

Lattice parameters (Å, degrees): 4.640 6.247 7.806 113.58 107.29 90.00
Fractional coordinates of all 11 atoms:
Ti  0.638  0.876  0.275
Ti  0.000  0.742  0.000
Ti  0.172  0.172  0.344
Ti  0.638  0.399  0.275
Ti  0.828  0.828  0.656
Ti  0.000  0.258  0.000
Ti  0.362  0.601  0.725
Ti  0.362  0.124  0.725
Rh  0.500  0.000  0.000
Sn  0.814  0.314  0.628
Sn  0.186  0.686  0.372